SrFeN2F, relaxed, DFT PBE+U; energy above the lowest structure with this stoichiometry = 0 meV/atom; magnetic moment = 4.64 μB/cell; Fermi-level density of states = 0.294 states/eV/atom; total DFT energy (no corrections) = -0.429 Ry per atom; crystal system = tetragonal
1.0
3.831 0.000 0.000
0.000 3.831 0.000
0.000 0.000 4.413
Sr Fe N F
1 1 2 1
Direct
0.000 0.000 0.000
0.500 0.500 0.500
0.000 0.500 0.500
0.500 0.000 0.500
0.500 0.500 0.000